1.
Below is a relaxed structure of ErMnSi2Os, with properties calculated at the PBE level.

Its raw formation energy is -3.5 eV/f.u. Its calculated volume is 16.2 Å³ per atom.

The structure belongs to space group I-4m2 (No. 119); the cell edges are 3.9790, 3.9790 and 10.2197 Å and the angles 90.00°, 90.00° and 90.00°. The distinct sites, in fractional coordinates, are Er at (0.0000, 0.0000, 0.0000), Mn at (0.0000, 0.5000, 0.7500), Si at (0.0000, 0.0000, 0.3814) and Os at (0.0000, 0.5000, 0.2500).

=====

2.
Below is a relaxed structure of TbErMnOs, with properties calculated at the PBE level.

Its calculated volume is 20.7 Å³ per atom. The value obtained for the energy of formation is -13 meV per atom.

The structure belongs to space group F-43m (No. 216); the cell edges are 6.9175, 6.9175 and 6.9175 Å and the angles 90.00°, 90.00° and 90.00°. The distinct sites, in fractional coordinates, are Tb at (0.0000, 0.0000, 0.0000), Er at (0.0000, 0.0000, 0.5000), Mn at (0.2500, 0.2500, 0.2500) and Os at (0.2500, 0.2500, 0.7500).

=====

3.
Below is a relaxed structure of ErThMnOs, with properties calculated at the PBE level.

Its calculated volume is 21.2 Å³ per atom. The value obtained for the energy of formation is -42 meV per atom.

The structure belongs to space group F-43m (No. 216); the cell edges are 6.9727, 6.9727 and 6.9727 Å and the angles 90.00°, 90.00° and 90.00°. The distinct sites, in fractional coordinates, are Er at (0.0000, 0.0000, 0.0000), Th at (0.0000, 0.0000, 0.5000), Mn at (0.2500, 0.2500, 0.2500) and Os at (0.2500, 0.2500, 0.7500).

=====

4.
Below is a relaxed structure of ErTmMnOs, with properties calculated at the PBE level.

Its calculated volume is 20.2 Å³ per atom. The value obtained for the energy of formation is -67 meV per atom.

The structure belongs to space group F-43m (No. 216); the cell edges are 6.8573, 6.8573 and 6.8573 Å and the angles 90.00°, 90.00° and 90.00°. The distinct sites, in fractional coordinates, are Er at (0.0000, 0.0000, 0.0000), Tm at (0.0000, 0.0000, 0.5000), Mn at (0.2500, 0.2500, 0.7500) and Os at (0.2500, 0.2500, 0.2500).

=====

5.
Below is a relaxed structure of Er2Mn12P7, with properties calculated at the PBE level.

Its calculated volume is 12.7 Å³ per atom. The value obtained for the energy of formation is -706 meV per atom.

The structure belongs to space group P-6 (No. 174); the cell edges are 9.2697, 9.2697 and 3.5915 Å and the angles 90.00°, 90.00° and 120.00°. The distinct sites, in fractional coordinates, are Er at (0.0000, 0.0000, 0.0000), Er at (0.3333, 0.6667, 0.5000), Mn at (0.0424, 0.2848, 0.5000), Mn at (0.1050, 0.7275, 0.0000), Mn at (0.4393, 0.2093, 0.0000), Mn at (0.5092, 0.4524, 0.5000), P at (0.0754, 0.4623, 0.0000), P at (0.2544, 0.2126, 0.5000) and P at (0.6667, 0.3333, 0.5000).

=====

6.
Below is a relaxed structure of ErMn9P4, with properties calculated at the PBE level.

Its calculated volume is 12.0 Å³ per atom. The value obtained for the energy of formation is -457 meV per atom.

The structure belongs to space group I4/mcm (No. 140); the cell edges are 7.5868, 7.5868 and 11.6538 Å and the angles 90.00°, 90.00° and 90.00°. The distinct sites, in fractional coordinates, are Er at (0.0000, 0.0000, 0.2500), Mn at (0.0000, 0.5000, 0.0000), Mn at (0.0666, 0.1885, 0.0000), Mn at (0.1327, 0.3673, 0.1773) and P at (0.1643, 0.3357, 0.3695).

=====

7.
Below is a relaxed structure of Er2MnP, with properties calculated at the PBE level.

Its calculated volume is 27.0 Å³ per atom. The value obtained for the energy of formation is -112 meV per atom.

The structure belongs to space group R-3m (No. 166, hexagonal axes); the cell edges are 3.6899, 3.6899 and 27.5078 Å and the angles 90.00°, 90.00° and 120.00°. The distinct sites, in fractional coordinates, are Er at (0.0000, 0.0000, 0.1077), Mn at (0.0000, 0.0000, 0.0000) and P at (0.0000, 0.0000, 0.5000).

=====

8.
Below is a relaxed structure of ErMn5P3, with properties calculated at the PBE level.

Its calculated volume is 13.4 Å³ per atom. The value obtained for the energy of formation is -642 meV per atom.

The structure belongs to space group Cmcm (No. 63); the cell edges are 3.7383, 11.9422 and 10.7777 Å and the angles 90.00°, 90.00° and 90.00°. The distinct sites, in fractional coordinates, are Er at (0.0000, 0.1695, 0.2500), Mn at (0.0000, 0.0000, 0.0000), Mn at (0.0000, 0.1922, 0.5590), Mn at (0.0000, 0.4517, 0.1471), P at (0.0000, 0.1149, 0.7500) and P at (0.0000, 0.3769, 0.5518).

=====

9.
Below is a relaxed structure of ErMnP2, with properties calculated at the PBE level.

Its calculated volume is 15.4 Å³ per atom. The value obtained for the energy of formation is -825 meV per atom.

The structure belongs to space group R-3m (No. 166, hexagonal axes); the cell edges are 3.8974, 3.8974 and 14.0543 Å and the angles 90.00°, 90.00° and 120.00°. The distinct sites, in fractional coordinates, are Er at (0.0000, 0.0000, 0.0000), Mn at (0.0000, 0.0000, 0.5000) and P at (0.0000, 0.0000, 0.2132).

=====

10.
Below is a relaxed structure of ErMnP2Rh5, with properties calculated at the PBE level.

Its calculated volume is 19.8 Å³ per atom. The value obtained for the energy of formation is -343 meV per atom.

The structure belongs to space group P4/mmm (No. 123); the cell edges are 4.3215, 4.3215 and 9.5202 Å and the angles 90.00°, 90.00° and 90.00°. The distinct sites, in fractional coordinates, are Er at (0.0000, 0.0000, 0.0000), Mn at (0.5000, 0.5000, 0.5000), P at (0.5000, 0.5000, 0.2623), Rh at (0.0000, 0.5000, 0.2071) and Rh at (0.5000, 0.5000, 0.0000).

=====

11.
Below is a relaxed structure of ErPaMn17, with properties calculated at the PBE level.

Its calculated volume is 13.0 Å³ per atom. The value obtained for the energy of formation is -11 meV per atom.

The structure belongs to space group R3m (No. 160, hexagonal axes); the cell edges are 8.5880, 8.5880 and 11.6187 Å and the angles 90.00°, 90.00° and 120.00°. The distinct sites, in fractional coordinates, are Er at (0.0000, 0.0000, 0.0000), Pa at (0.0000, 0.0000, 0.2949), Mn at (0.0000, 0.0000, 0.5437), Mn at (0.0000, 0.0000, 0.7460), Mn at (0.0061, 0.5031, 0.5088), Mn at (0.0598, 0.3920, 0.3143), Mn at (0.1682, 0.3364, 0.4832) and Mn at (0.1734, 0.3467, 0.1160).

=====

12.
Below is a relaxed structure of ErPaMn2, with properties calculated at the PBE level.

Its calculated volume is 19.1 Å³ per atom. The value obtained for the energy of formation is 176 meV per atom. The calculation puts the energy relative to the lowest polymorph listed for this composition at 0.132 eV per atom.

The structure belongs to space group P4/mmm (No. 123); the cell edges are 4.7640, 4.7640 and 3.3592 Å and the angles 90.00°, 90.00° and 90.00°. The distinct sites, in fractional coordinates, are Er at (0.0000, 0.0000, 0.0000), Pa at (0.5000, 0.5000, 0.0000) and Mn at (0.0000, 0.5000, 0.5000).

=====

13.
Below is a relaxed structure of ErPaMn2, with properties calculated at the PBE level.

Its calculated volume is 19.5 Å³ per atom. The value obtained for the energy of formation is 44 meV per atom. The calculation puts the energy relative to the lowest polymorph listed for this composition at 0.000 eV per atom.

The structure belongs to space group R-3m (No. 166, hexagonal axes); the cell edges are 4.3291, 4.3291 and 14.4418 Å and the angles 90.00°, 90.00° and 120.00°. The distinct sites, in fractional coordinates, are Er at (0.0000, 0.0000, 0.0000), Pa at (0.0000, 0.0000, 0.5000) and Mn at (0.0000, 0.0000, 0.2068).

=====

14.
Below is a relaxed structure of ErPaMn4, with properties calculated at the PBE level.

Its calculated volume is 15.7 Å³ per atom. The value obtained for the energy of formation is 18 meV per atom.

The structure belongs to space group F-43m (No. 216); the cell edges are 7.2285, 7.2285 and 7.2285 Å and the angles 90.00°, 90.00° and 90.00°. The distinct sites, in fractional coordinates, are Er at (0.0000, 0.0000, 0.0000), Pa at (0.2500, 0.2500, 0.2500) and Mn at (0.1246, 0.1246, 0.6246).

=====

15.
Below is a relaxed structure of ErPa2Mn9, with properties calculated at the PBE level.

Its calculated volume is 15.1 Å³ per atom. The value obtained for the energy of formation is -24 meV per atom.

The structure belongs to space group R-3m (No. 166, hexagonal axes); the cell edges are 5.0849, 5.0849 and 24.1985 Å and the angles 90.00°, 90.00° and 120.00°. The distinct sites, in fractional coordinates, are Er at (0.0000, 0.0000, 0.0000), Pa at (0.0000, 0.0000, 0.1428), Mn at (0.0000, 0.0000, 0.3329), Mn at (0.0000, 0.0000, 0.5000) and Mn at (0.0031, 0.5015, 0.0817).

=====

16.
Below is a relaxed structure of ErPaMn2, with properties calculated at the PBE level.

Its calculated volume is 19.2 Å³ per atom. The value obtained for the energy of formation is 65 meV per atom. The calculation puts the energy relative to the lowest polymorph listed for this composition at 0.021 eV per atom.

The structure belongs to space group P4/mmm (No. 123); the cell edges are 3.3466, 3.3466 and 6.8739 Å and the angles 90.00°, 90.00° and 90.00°. The distinct sites, in fractional coordinates, are Er at (0.0000, 0.0000, 0.0000), Pa at (0.0000, 0.0000, 0.5000) and Mn at (0.5000, 0.5000, 0.2938).

=====

17.
Below is a relaxed structure of ErPaMnRe, with properties calculated at the PBE level.

Its calculated volume is 20.0 Å³ per atom. The value obtained for the energy of formation is 92 meV per atom.

The structure belongs to space group F-43m (No. 216); the cell edges are 6.8371, 6.8371 and 6.8371 Å and the angles 90.00°, 90.00° and 90.00°. The distinct sites, in fractional coordinates, are Er at (0.0000, 0.0000, 0.0000), Pa at (0.0000, 0.0000, 0.5000), Mn at (0.2500, 0.2500, 0.7500) and Re at (0.2500, 0.2500, 0.2500).

=====

18.
Below is a relaxed structure of ErPaMnRu, with properties calculated at the PBE level.

Its calculated volume is 19.2 Å³ per atom. The value obtained for the energy of formation is -114 meV per atom.

The structure belongs to space group F-43m (No. 216); the cell edges are 6.7446, 6.7446 and 6.7446 Å and the angles 90.00°, 90.00° and 90.00°. The distinct sites, in fractional coordinates, are Er at (0.0000, 0.0000, 0.0000), Pa at (0.0000, 0.0000, 0.5000), Mn at (0.2500, 0.2500, 0.2500) and Ru at (0.2500, 0.2500, 0.7500).

=====

19.
Below is a relaxed structure of Er2PaMnS6, with properties calculated at the PBE level.

Its raw formation energy is -12.2 eV/f.u. Its calculated volume is 25.6 Å³ per atom.

The structure belongs to space group P4mm (No. 99); the cell edges are 6.6851, 6.6851 and 5.7316 Å and the angles 90.00°, 90.00° and 90.00°. The distinct sites, in fractional coordinates, are Er at (0.0000, 0.5000, 0.0000), Pa at (0.0000, 0.0000, 0.6662), Mn at (0.5000, 0.5000, 0.8859), S at (0.0000, 0.0000, 0.1997), S at (0.2631, 0.2631, 0.7651) and S at (0.5000, 0.5000, 0.2670).

=====

20.
Below is a relaxed structure of ErPaMn2S8, with properties calculated at the PBE level.

Its raw formation energy is -10.8 eV/f.u. Its calculated volume is 21.2 Å³ per atom.

The structure belongs to space group I-4 (No. 82); the cell edges are 6.2707, 6.2707 and 12.9595 Å and the angles 90.00°, 90.00° and 90.00°. The distinct sites, in fractional coordinates, are Er at (0.0000, 0.0000, 0.0000), Pa at (0.0000, 0.5000, 0.7500), Mn at (0.0000, 0.0000, 0.5000), Mn at (0.0000, 0.5000, 0.2500), S at (0.1513, 0.2792, 0.5762) and S at (0.1617, 0.7790, 0.1750).